# CeSiTc2N | Alexandria via LeMat-Bulk | PBE | relaxed
data_CeSiTc2N
_chemical_formula_sum 'Ce4 Si4 Tc8 N4'
_cell_length_a 3.4641
_cell_length_b 11.7261
_cell_length_c 7.5527
_cell_angle_alpha 90.00
_cell_angle_beta 90.00
_cell_angle_gamma 90.00
_symmetry_space_group_name_H-M 'C m c m'
_symmetry_Int_Tables_number 63
_symmetry_space_group_name_Hall '-C 2c 2'
loop_
_atom_site_label
_atom_site_type_symbol
_atom_site_fract_x
_atom_site_fract_y
_atom_site_fract_z
_atom_site_occupancy
Ce1 Ce 0.0000 0.0397 0.2500 1
Si1 Si 0.0000 0.2394 0.7500 1
Tc1 Tc 0.0000 0.3357 0.0512 1
N1 N 0.0000 0.5000 0.0000 1
# Calculated density in g cm⁻³: 8.2
# E_form (uncorrected) in kJ/mol of atoms: -74
# Crystal system: orthorhombic
# Magnetic moment in μB/cell: 0.0